(1)
Density functional theory data (PBE) for Be2TlNi after structural relaxation.

a = 3.877 Å, b = 3.877 Å, c = 4.664 Å
α = 99.08°, β = 99.08°, γ = 58.20°
Fractional coordinates of all 4 atoms:
Be (0.177, 0.177, 0.037)
Be (0.823, 0.823, 0.963)
Tl (0.000, 0.000, 0.500)
Ni (0.500, 0.500, 0.000)

Output
Energy in eV per atom: -3.693

=====

(2)
Density functional theory data (PBE) for TbSm2Tm4 after structural relaxation.

a = 3.588 Å, b = 3.588 Å, c = 19.916 Å
α = 95.17°, β = 95.17°, γ = 60.02°
Fractional coordinates of all 7 atoms:
Tb (0.000, 0.000, 0.000)
Sm (0.095, 0.095, 0.287)
Sm (0.189, 0.189, 0.576)
Tm (0.286, 0.286, 0.858)
Tm (0.381, 0.381, 0.142)
Tm (0.808, 0.808, 0.430)
Tm (0.905, 0.905, 0.720)

Output
Energy in eV per atom: -4.557

=====

(3)
Density functional theory data (PBE) for Ba3MgSc after structural relaxation.

a = 6.387 Å, b = 6.387 Å, c = 6.387 Å
α = 90.00°, β = 90.00°, γ = 90.00°
Fractional coordinates of all 5 atoms:
Ba (0.000, 0.000, 0.500)
Ba (0.000, 0.500, 0.000)
Ba (0.500, 0.000, 0.000)
Mg (0.500, 0.500, 0.500)
Sc (0.000, 0.000, 0.000)

Output
Energy in eV per atom: -2.152

=====

Let's list N(E_F) in order: 1.37, 11.21, 7.84 states/eV/cell.
Let's list calculated density in order: 7.967, 8.535, 3.068 g cm⁻³.
Let's list energy of formation in order: 206.7, 7.5, 587.1 meV/atom.